Compound: InCoTe2I
Source: the Alexandria database
Functional: PBE-GGA
Structure: optimized geometry

POSCAR file:
```
InCoTe2I
1.0
-4.369 0.178 2.525
-2.144 -2.939 -3.501
1.572 -4.790 3.058
Te In I Co
2 1 1 1
Direct
0.000 0.500 0.000
0.500 0.000 0.000
0.500 0.500 0.500
0.000 0.000 0.500
0.000 0.000 0.000
```

**Total magnetic moment**: 2.17 μB per cell
**Space group**: No. 123
**Formation energy without anion corrections**: 0.157 eV per atom
**DOS at the Fermi energy**: 5.3 states/eV per cell
**Offset from the most stable computed form**: 0 meV/atom

=====

Compound: Tl2InCoI
Source: the Alexandria database
Functional: PBE-GGA
Structure: optimized geometry

POSCAR file:
```
Tl2InCoI
1.0
-1.333 -5.026 -0.565
1.714 -0.998 4.839
-4.663 1.028 1.863
In Co I Tl
1 1 1 2
Direct
0.000 0.000 0.500
0.000 0.000 0.000
0.500 0.500 0.500
0.500 0.000 0.000
0.000 0.500 0.000
```

**Total magnetic moment**: 0.00 μB per cell
**Space group**: No. 123
**Formation energy without anion corrections**: -0.051 eV per atom
**DOS at the Fermi energy**: 3.0 states/eV per cell

=====

Compound: TlIn2CoI
Source: the Alexandria database
Functional: PBE-GGA
Structure: optimized geometry

POSCAR file:
```
TlIn2CoI
1.0
5.121 0.000 0.000
0.000 5.121 0.000
0.000 0.000 5.233
Co In Tl I
1 2 1 1
Direct
0.000 0.000 0.000
0.500 0.000 0.000
0.000 0.500 0.000
0.000 0.000 0.500
0.500 0.500 0.500
```

**Total magnetic moment**: 0.00 μB per cell
**Space group**: No. 123
**Formation energy without anion corrections**: -0.066 eV per atom
**DOS at the Fermi energy**: 2.9 states/eV per cell

=====

Compound: Co2IrI
Source: the Alexandria database
Functional: PBE-GGA
Structure: optimized geometry

POSCAR file:
```
Co2IrI
1.0
1.709 -1.769 3.635
-2.119 -3.239 2.070
1.606 -4.084 -0.093
Co Ir I
2 1 1
Direct
0.750 0.750 0.750
0.250 0.250 0.250
0.500 0.500 0.500
0.000 0.000 0.000
```

**Total magnetic moment**: 2.69 μB per cell
**Space group**: No. 225
**Formation energy without anion corrections**: 0.938 eV per atom
**DOS at the Fermi energy**: 14.8 states/eV per cell
**Offset from the most stable computed form**: 28 meV/atom